Run A
Na2GaAg2: relaxed, PBE-GGA.

Cell lengths 8.6530, 8.6530, 3.0076 Å; angles 90.00, 90.00, 90.00 degrees
Positions (direct):
Ag 0.6572 0.8428 0.5000
Ga 0.0000 0.0000 0.0000
Ag 0.3428 0.1572 0.5000
Na 0.6409 0.1409 0.0000
Ag 0.8428 0.3428 0.5000
Ag 0.1572 0.6572 0.5000
Na 0.8591 0.6409 0.0000
Ga 0.5000 0.5000 0.0000
Na 0.3591 0.8591 0.0000
Na 0.1409 0.3591 0.0000

symmetry	P4/mbm (127)
crystal system	tetragonal
calculated volume	22.5	Å³/atom

=====

Run B
Na2GaAg2: relaxed, PBE-GGA.

Cell lengths 4.1740, 5.9574, 5.9529 Å; angles 120.02, 110.52, 90.00 degrees
Positions (direct):
Ag 0.5000 0.7366 0.0000
Ag 0.5000 0.2633 0.0000
Na 0.7983 0.2983 0.5966
Ga 0.0000 0.0000 0.0000
Na 0.2017 0.7017 0.4034

symmetry	Immm (71)
crystal system	orthorhombic
calculated volume	23.4	Å³/atom

=====

Run C
Na2GaAg2: relaxed, PBE-GGA.

Cell lengths 4.0936, 4.0936, 7.6958 Å; angles 74.58, 74.58, 90.00 degrees
Positions (direct):
Na 0.2500 0.7500 0.5000
Ag 0.4059 0.4059 0.1882
Ag 0.5941 0.5941 0.8118
Ga 0.0000 0.0000 0.0000
Na 0.7500 0.2500 0.5000

symmetry	I4/mmm (139)
crystal system	tetragonal
calculated volume	23.9	Å³/atom

=====

Ranked by calculated energy, most stable first: run B, run A, run C.

=====

Run A
Na2GaAg2: relaxed, PBE-GGA.

Cell lengths 6.9072, 6.9072, 4.8367 Å; angles 90.00, 90.00, 90.00 degrees
Positions (direct):
Ag 0.6440 0.1440 0.0000
Ag 0.3560 0.8560 0.0000
Na 0.6700 0.8300 0.5000
Na 0.8300 0.3300 0.5000
Na 0.3300 0.1700 0.5000
Ga 0.5000 0.5000 0.0000
Ag 0.1440 0.3560 0.0000
Ga 0.0000 0.0000 0.0000
Ag 0.8560 0.6440 0.0000
Na 0.1700 0.6700 0.5000

symmetry	P4/mbm (127)
crystal system	tetragonal
calculated volume	23.1	Å³/atom

=====

Run B
Na2GaAg2: relaxed, PBE-GGA.

Cell lengths 5.8239, 5.8239, 8.0153 Å; angles 78.81, 78.81, 60.44 degrees
Positions (direct):
Na 0.5238 0.7775 0.8476
Ag 0.9995 0.7421 0.9976
Na 0.2225 0.4762 0.6524
Ga 0.1514 0.8486 0.2500
Na 0.7775 0.5238 0.3476
Ag 0.7421 0.9995 0.4976
Ga 0.8486 0.1514 0.7500
Ag 0.0005 0.2579 0.0024
Na 0.4762 0.2225 0.1524
Ag 0.2579 0.0005 0.5024

symmetry	C2/c (15)
crystal system	monoclinic
calculated volume	23.0	Å³/atom

=====

Ranked by calculated energy, most stable first: run B, run A.

=====

Run A
NaGa3Ag3: relaxed, PBE-GGA.

Cell lengths 8.8638, 8.8638, 8.8638 Å; angles 60.00, 60.00, 60.00 degrees
Positions (direct):
Ag 0.6569 0.3431 0.6569
Ag 0.6569 0.3431 0.3431
Ga 0.8517 0.1483 0.1483
Ga 0.1483 0.8517 0.1483
Na 0.2500 0.2500 0.2500
Ga 0.8517 0.8517 0.1483
Ga 0.8517 0.1483 0.8517
Ag 0.3431 0.6569 0.3431
Ag 0.3431 0.3431 0.6569
Ag 0.3431 0.6569 0.6569
Ga 0.1483 0.8517 0.8517
Ag 0.6569 0.6569 0.3431
Ga 0.1483 0.1483 0.8517
Na 0.7500 0.7500 0.7500

symmetry	Fm-3m (225)
crystal system	cubic
calculated volume	35.2	Å³/atom

=====

Run B
NaGa3Ag3: relaxed, PBE-GGA.

Cell lengths 7.2479, 7.2479, 7.2479 Å; angles 90.00, 90.00, 90.00 degrees
Positions (direct):
Ga 0.5000 0.2500 0.0000
Ga 0.2500 0.0000 0.5000
Ga 0.0000 0.5000 0.2500
Ga 0.5000 0.7500 0.0000
Na 0.0000 0.0000 0.0000
Ag 0.7500 0.5000 0.0000
Ag 0.0000 0.7500 0.5000
Ag 0.5000 0.0000 0.7500
Ag 0.0000 0.2500 0.5000
Na 0.5000 0.5000 0.5000
Ga 0.0000 0.5000 0.7500
Ag 0.2500 0.5000 0.0000
Ag 0.5000 0.0000 0.2500
Ga 0.7500 0.0000 0.5000

symmetry	Pm-3n (223)
crystal system	cubic
calculated volume	27.2	Å³/atom

=====

Ranked by calculated energy, most stable first: run B, run A.

=====

Run A
NaGa2Ag2: relaxed, PBE-GGA.

Cell lengths 4.1192, 4.1192, 6.9421 Å; angles 72.74, 72.74, 90.00 degrees
Positions (direct):
Ga 0.2500 0.7500 0.5000
Ga 0.7500 0.2500 0.5000
Na 0.0000 0.0000 0.0000
Ag 0.3904 0.3904 0.2191
Ag 0.6096 0.6096 0.7809

symmetry	I4/mmm (139)
crystal system	tetragonal
calculated volume	21.4	Å³/atom

=====

Run B
NaGa2Ag2: relaxed, PBE-GGA.

Cell lengths 8.0536, 8.0536, 2.9572 Å; angles 90.00, 90.00, 90.00 degrees
Positions (direct):
Ga 0.3800 0.8800 0.0000
Na 0.5000 0.5000 0.0000
Ag 0.3202 0.1798 0.5000
Ga 0.6200 0.1200 0.0000
Ga 0.1200 0.3800 0.0000
Ag 0.1798 0.6798 0.5000
Ga 0.8800 0.6200 0.0000
Na 0.0000 0.0000 0.0000
Ag 0.8202 0.3202 0.5000
Ag 0.6798 0.8202 0.5000

symmetry	P4/mbm (127)
crystal system	tetragonal
calculated volume	19.2	Å³/atom

=====

Run C
NaGa2Ag2: relaxed, PBE-GGA.

Cell lengths 4.7370, 4.7370, 5.8904 Å; angles 66.29, 66.29, 90.00 degrees
Positions (direct):
Ag 0.7500 0.2500 0.5000
Ga 0.6301 0.6301 0.7397
Ga 0.3699 0.3699 0.2603
Ag 0.2500 0.7500 0.5000
Na 0.0000 0.0000 0.0000

symmetry	I4/mmm (139)
crystal system	tetragonal
calculated volume	21.7	Å³/atom

=====

Run D
NaGa2Ag2: relaxed, PBE-GGA.

Cell lengths 8.0972, 8.0972, 2.9688 Å; angles 90.00, 90.00, 90.00 degrees
Positions (direct):
Ag 0.6406 0.1406 0.0000
Ga 0.6561 0.8439 0.5000
Na 0.5000 0.5000 0.0000
Ag 0.3594 0.8594 0.0000
Ga 0.3439 0.1561 0.5000
Ga 0.1561 0.6561 0.5000
Na 0.0000 0.0000 0.0000
Ga 0.8439 0.3439 0.5000
Ag 0.8594 0.6406 0.0000
Ag 0.1406 0.3594 0.0000

symmetry	P4/mbm (127)
crystal system	tetragonal
calculated volume	19.5	Å³/atom

=====

Ranked by calculated energy, most stable first: run B, run C, run D, run A.

=====

Run A
NaGaAg4: relaxed, PBE-GGA.

Cell lengths 4.0043, 7.3178, 8.1659 Å; angles 90.00, 90.00, 90.00 degrees
Positions (direct):
Ga 0.0000 0.2303 0.7500
Ag 0.5000 0.3096 0.5458
Ag 0.5000 0.3096 0.9542
Ga 0.0000 0.7697 0.2500
Ag 0.0000 0.0000 0.0000
Ag 0.5000 0.6904 0.0458
Ag 0.5000 0.9452 0.7500
Na 0.0000 0.6272 0.7500
Ag 0.5000 0.0548 0.2500
Ag 0.5000 0.6904 0.4542
Na 0.0000 0.3728 0.2500
Ag 0.0000 0.0000 0.5000

symmetry	Pmma (51)
crystal system	orthorhombic
calculated volume	19.9	Å³/atom

=====

Run B
NaGaAg4: relaxed, PBE-GGA.

Cell lengths 5.5923, 5.5923, 5.5923 Å; angles 60.00, 60.00, 60.00 degrees
Positions (direct):
Ag 0.1251 0.6250 0.6250
Ga 0.0000 0.0000 0.0000
Ag 0.6250 0.6250 0.1251
Na 0.2500 0.2500 0.2500
Ag 0.6250 0.6250 0.6250
Ag 0.6250 0.1251 0.6250

symmetry	F-43m (216)
crystal system	cubic
calculated volume	20.6	Å³/atom

=====

Ranked by calculated energy, most stable first: run A, run B.

=====

Run A
NaGa4Ag: relaxed, PBE-GGA.

Cell lengths 6.2503, 8.0787, 6.2503 Å; angles 70.92, 56.44, 70.92 degrees
Positions (direct):
Ga 0.1317 0.4687 0.6363
Ga 0.8683 0.5313 0.3637
Ga 0.1855 0.7636 0.1855
Ag 0.5768 0.2309 0.5768
Na 0.7965 0.8426 0.7965
Ga 0.7379 0.0000 0.2621
Ga 0.2621 0.0000 0.7379
Ga 0.3637 0.5313 0.8683
Ga 0.6363 0.4687 0.1317
Na 0.2035 0.1574 0.2035
Ag 0.4232 0.7691 0.4232
Ga 0.8145 0.2364 0.8145

symmetry	C2/m (12)
crystal system	monoclinic
calculated volume	20.4	Å³/atom

=====

Run B
NaGa4Ag: relaxed, PBE-GGA.

Cell lengths 5.5214, 5.5214, 5.5214 Å; angles 60.00, 60.00, 60.00 degrees
Positions (direct):
Ga 0.6248 0.1255 0.6248
Ag 0.2500 0.2500 0.2500
Ga 0.1255 0.6248 0.6248
Ga 0.6248 0.6248 0.6248
Ga 0.6248 0.6248 0.1255
Na 0.0000 0.0000 0.0000

symmetry	F-43m (216)
crystal system	cubic
calculated volume	19.8	Å³/atom

=====

Ranked by calculated energy, most stable first: run A, run B.

=====

Run A
Na3Ga2Ag4: relaxed, PBE-GGA.

Cell lengths 5.7858, 8.4790, 8.4790 Å; angles 59.72, 90.01, 90.01 degrees
Positions (direct):
Na 0.2500 0.5001 0.4999
Ag 0.0000 0.8202 0.1667
Ga 0.9991 0.4990 0.8398
Ga 0.5009 0.1602 0.5010
Ag 0.0000 0.1798 0.8333
Na 0.2499 0.8381 0.8376
Na 0.7499 0.8376 0.8381
Ag 0.9992 0.8224 0.5133
Ag 0.4992 0.5133 0.8224
Ag 0.5000 0.1667 0.8202
Ag 0.5008 0.4867 0.1776
Na 0.7501 0.1619 0.1624
Ga 0.4991 0.8398 0.4990
Na 0.7500 0.4999 0.5001
Ag 0.0008 0.1776 0.4867
Ga 0.0009 0.5010 0.1602
Ag 0.5000 0.8333 0.1798
Na 0.2501 0.1624 0.1619

symmetry	C2/c (15)
crystal system	monoclinic
calculated volume	20.0	Å³/atom

=====

Run B
Na3Ga2Ag4: relaxed, PBE-GGA.

Cell lengths 4.5213, 5.8675, 8.7513 Å; angles 100.00, 90.00, 112.66 degrees
Positions (direct):
Na 0.3880 0.7759 0.6195
Ga 0.6983 0.3965 0.7652
Ga 0.3017 0.6035 0.2348
Ag 0.9033 0.8067 0.3711
Na 0.6120 0.2241 0.3805
Ag 0.0967 0.1933 0.6289
Ag 0.2698 0.5396 0.9150
Ag 0.7302 0.4604 0.0850
Na 0.0000 0.0000 0.0000

symmetry	C2/m (12)
crystal system	monoclinic
calculated volume	23.4	Å³/atom

=====

Ranked by calculated energy, most stable first: run B, run A.

=====

Run A
RbNaGa2Ag: relaxed, PBE-GGA.

Cell lengths 5.1097, 5.1097, 5.7198 Å; angles 90.00, 90.00, 90.00 degrees
Positions (direct):
Ga 0.5000 0.0000 0.0000
Rb 0.5000 0.5000 0.5000
Na 0.0000 0.0000 0.5000
Ag 0.0000 0.0000 0.0000
Ga 0.0000 0.5000 0.0000

symmetry	P4/mmm (123)
crystal system	tetragonal
calculated volume	29.9	Å³/atom

=====

Run B
RbNaGa2Ag: relaxed, PBE-GGA.

Cell lengths 6.1384, 5.9311, 6.1384 Å; angles 90.00, 90.00, 90.00 degrees
Positions (direct):
Rb 0.0000 0.0000 0.0000
Na 0.5000 0.5000 0.5000
Ga 0.0000 0.0000 0.5000
Ag 0.0000 0.5000 0.0000
Ga 0.5000 0.0000 0.0000

symmetry	P4/mmm (123)
crystal system	tetragonal
calculated volume	44.7	Å³/atom

=====

Ranked by calculated energy, most stable first: run A, run B.

=====

Run A
NaGaAgSn: relaxed, PBE-GGA.

Cell lengths 4.5605, 4.5639, 5.9475 Å; angles 111.90, 90.00, 119.98 degrees
Positions (direct):
Ga 0.1673 0.3346 0.1480
Na 0.6041 0.2081 0.4560
Sn 0.3950 0.7899 0.8212
Ag 0.8000 0.5999 0.0421

symmetry	Cm (8)
crystal system	monoclinic
calculated volume	24.2	Å³/atom

=====

Run B
NaGaAgSn: relaxed, PBE-GGA.

Cell lengths 4.9814, 4.9814, 4.9814 Å; angles 60.00, 60.00, 60.00 degrees
Positions (direct):
Na 0.2500 0.2500 0.2500
Ag 0.0000 0.0000 0.0000
Sn 0.7500 0.7500 0.7500
Ga 0.5000 0.5000 0.5000

symmetry	F-43m (216)
crystal system	cubic
calculated volume	21.9	Å³/atom

=====

Ranked by calculated energy, most stable first: run A, run B.

=====

Run A
NbGa2Ag: relaxed, PBE-GGA.

Cell lengths 3.7981, 4.1852, 4.1852 Å; angles 90.00, 90.00, 90.00 degrees
Positions (direct):
Ga 0.0000 0.5000 0.0000
Nb 0.5000 0.5000 0.5000
Ga 0.0000 0.0000 0.5000
Ag 0.5000 0.0000 0.0000

symmetry	P4/mmm (123)
crystal system	tetragonal
calculated volume	16.6	Å³/atom

=====

Run B
NbGa2Ag: relaxed, PBE-GGA.

Cell lengths 2.8661, 2.8661, 8.2654 Å; angles 90.00, 90.00, 90.00 degrees
Positions (direct):
Ga 0.0000 0.0000 0.7454
Ag 0.5000 0.5000 0.0000
Ga 0.0000 0.0000 0.2546
Nb 0.5000 0.5000 0.5000

symmetry	P4/mmm (123)
crystal system	tetragonal
calculated volume	17.0	Å³/atom

=====

Ranked by calculated energy, most stable first: run A, run B.

=====

Run A
NbGa2Ag: relaxed, PBE-GGA.

Cell lengths 2.9260, 2.9260, 10.1122 Å; angles 81.68, 81.68, 60.00 degrees
Positions (direct):
Ga 0.9099 0.9099 0.2703
Ga 0.0901 0.0901 0.7297
Ag 0.5000 0.5000 0.5000
Nb 0.0000 0.0000 0.0000

symmetry	R-3m (166)
crystal system	trigonal
calculated volume	18.5	Å³/atom

=====

Run B
NbGa2Ag: relaxed, PBE-GGA.

Cell lengths 7.0875, 7.0875, 5.7981 Å; angles 52.32, 52.32, 90.00 degrees
Positions (direct):
Ag 0.7500 0.2500 0.5000
Ga 0.8750 0.8884 0.7500
Nb 0.5000 0.5000 0.0000
Ga 0.1116 0.6250 0.2500
Nb 0.2500 0.7500 0.5000
Ag 0.0000 0.0000 0.0000
Ga 0.6384 0.1250 0.2500
Ga 0.3750 0.3617 0.7500

symmetry	I-42d (122)
crystal system	tetragonal
calculated volume	18.3	Å³/atom

=====

Ranked by calculated energy, most stable first: run B, run A.